# 1
First-principles (GGA-PBE) data for crystalline BaSr2TiBr at its relaxed geometry, as listed in Alexandria.

Lattice parameters (Å, degrees): 6.9335 6.9335 4.9988 90.00 90.00 90.00
With the nearest neighbours (Å) after each atom.
Space group P4/mmm (No. 123)
Symmetry-distinct sites (fractional):
Ba 0.0000 0.0000 0.0000 [1 per cell]  8 Sr 4.27
Sr 0.0000 0.5000 0.5000 [2 per cell]  2 Ti 3.47
Ti 0.5000 0.5000 0.5000 [1 per cell]  2 Br 2.50
Br 0.5000 0.5000 0.0000 [1 per cell]  2 Ti 2.50

For the calculated volume, the calculation gives 48.1 A^3/atom. The energy relative to the elements, uncorrected comes out at 177 meV/atom.

***

# 2
First-principles (GGA-PBE) data for crystalline Tb16Pm6Sm7 at its relaxed geometry, as listed in Alexandria.

Lattice parameters (Å, degrees): 15.9081 15.9081 15.9081 90.00 90.00 90.00
With the nearest neighbours (Å) after each atom.
Space group Fm-3m (No. 225)
Symmetry-distinct sites (fractional):
Tb 0.1272 0.1272 0.1272 [32 per cell]  4 Sm 3.42-3.50, 3 Tb 3.57, 3 Pm 3.65
Tb 0.1511 0.1511 0.3489 [32 per cell]  3 Sm 3.28, 3 Tb 3.57, 3 Pm 3.63
Pm 0.0000 0.0000 0.2694 [24 per cell]  8 Tb 3.63-3.65, 4 Sm 3.99
Sm 0.0000 0.0000 0.0000 [4 per cell]  8 Tb 3.50
Sm 0.0000 0.2500 0.2500 [24 per cell]  8 Tb 3.28-3.42

For the calculated volume, the calculation gives 34.7 A^3/atom. The formation energy is 235 meV per atom.

***

# 3
First-principles (GGA-PBE) data for crystalline AlReSb2 at its relaxed geometry, as listed in Alexandria.

Lattice parameters (Å, degrees): 6.7861 6.7861 6.7861 90.00 90.00 90.00
With the nearest neighbours (Å) after each atom.
Space group F-43m (No. 216)
Symmetry-distinct sites (fractional):
Al 0.0000 0.0000 0.0000 [4 per cell]  4 Sb 2.94, 4 Re 2.94
Re 0.2500 0.2500 0.7500 [4 per cell]  4 Al 2.94, 4 Sb 2.94
Sb 0.0000 0.0000 0.5000 [4 per cell]  4 Re 2.94, 4 Sb 2.94
Sb 0.2500 0.2500 0.2500 [4 per cell]  4 Sb 2.94, 4 Al 2.94

For the calculated volume, the calculation gives 19.5 A^3/atom. The energy relative to the elements, uncorrected comes out at 700 meV/atom.

***

# 4
First-principles (GGA-PBE) data for crystalline Ca3Ce3SnN8 at its relaxed geometry, as listed in Alexandria.

Lattice parameters (Å, degrees): 12.1409 7.0002 7.0118 90.00 125.19 90.00
With the nearest neighbours (Å) after each atom.
Space group C2/m (No. 12)
Symmetry-distinct sites (fractional):
Ca 0.0000 0.0000 0.0000 [2 per cell]  6 N 2.56-2.59
Ca 0.2500 0.2500 0.0000 [4 per cell]  6 N 2.56-2.58
Ce 0.0000 0.5000 0.5000 [2 per cell]  6 N 2.38-2.42
Ce 0.2500 0.2500 0.5000 [4 per cell]  6 N 2.38-2.42
Sn 0.0000 0.0000 0.5000 [2 per cell]  6 N 2.26
N 0.0069 0.2351 0.2863 [8 per cell]  1 Sn 2.26, 2 Ce 2.42
N 0.2278 0.0000 0.7131 [4 per cell]  1 Sn 2.26, 2 Ce 2.42
N 0.2399 0.5000 0.7193 [4 per cell]  3 Ce 2.38, 3 Ca 2.58-2.59

For the calculated volume, the calculation gives 16.2 A^3/atom. The energy relative to the elements, uncorrected comes out at -767 meV/atom.

***

# 5
First-principles (GGA-PBE) data for crystalline Er6Hg5Ir at its relaxed geometry, as listed in Alexandria.

Lattice parameters (Å, degrees): 5.1040 7.3931 15.3216 90.00 90.00 90.00
With the nearest neighbours (Å) after each atom.
Space group Immm (No. 71)
Symmetry-distinct sites (fractional):
Er 0.0000 0.2257 0.0000 [4 per cell]  2 Ir 3.05, 6 Hg 3.24-3.27, 1 Er 3.34
Er 0.0000 0.2658 0.3439 [8 per cell]  1 Ir 2.95, 7 Hg 3.10-3.24
Hg 0.0000 0.0000 0.1836 [4 per cell]  8 Er 3.11-3.27, 2 Hg 3.45
Hg 0.0000 0.0000 0.5000 [2 per cell]  8 Er 3.10-3.26
Hg 0.0000 0.5000 0.1652 [4 per cell]  8 Er 3.22-3.24, 4 Hg 3.45-3.59
Ir 0.0000 0.5000 0.5000 [2 per cell]  8 Er 2.95-3.05

For the calculated volume, the calculation gives 24.1 A^3/atom. The formation energy is -572 meV per atom.

***

# 6
First-principles (GGA-PBE) data for crystalline La8Tb3Ho2 at its relaxed geometry, as listed in Alexandria.

Lattice parameters (Å, degrees): 13.6327 11.8476 6.1617 90.00 112.71 90.00
With the nearest neighbours (Å) after each atom.
Space group C2/m (No. 12)
Symmetry-distinct sites (fractional):
La 0.0851 0.0000 0.2365 [4 per cell]  1 La 2.94
La 0.1392 0.5000 0.6102 [4 per cell]  1 Ho 3.39, 4 Tb 3.50-3.68, 2 La 3.50
La 0.1623 0.2613 0.1504 [8 per cell]  2 La 3.38-3.56, 1 Ho 3.46, 3 Tb 3.49-3.78
Tb 0.0000 0.2269 0.5000 [4 per cell]  8 La 3.56-3.78, 2 Ho 3.71
Tb 0.0000 0.5000 0.0000 [2 per cell]  8 La 3.49-3.59
Ho 0.1873 0.0000 0.8207 [4 per cell]  6 La 3.32-3.59, 2 Tb 3.71

For the calculated volume, the calculation gives 35.3 A^3/atom. The formation energy is 144 meV per atom.

***

# 7
First-principles (GGA-PBE) data for crystalline MgWCl2 at its relaxed geometry, as listed in Alexandria.

Lattice parameters (Å, degrees): 3.5172 3.1419 8.0911 90.00 102.33 90.00
With the nearest neighbours (Å) after each atom.
Space group Pm (No. 6)
Symmetry-distinct sites (fractional):
Mg 0.0000 0.0000 0.0000 [1 per cell]  4 Cl 2.64, 4 W 2.80
W 0.4057 0.5000 0.8085 [1 per cell]  2 Cl 2.41
Cl 0.2916 0.0000 0.5768 [1 per cell]  2 W 2.41
Cl 0.5735 0.5000 0.1505 [1 per cell]  4 Mg 2.64, 1 W 2.70

For the calculated volume, the calculation gives 21.8 A^3/atom. The energy relative to the elements, uncorrected comes out at -162 meV/atom.

***

# 8
First-principles (GGA-PBE) data for crystalline ReSi2W at its relaxed geometry, as listed in Alexandria.

Lattice parameters (Å, degrees): 2.9873 4.8698 7.9929 90.00 90.00 90.00
With the nearest neighbours (Å) after each atom.
Space group Cmmm (No. 65)
Symmetry-distinct sites (fractional):
Re 0.0000 0.0000 0.0000 [2 per cell]  4 Si 2.46
Si 0.0000 0.5000 0.2446 [4 per cell]  2 Re 2.46, 2 W 2.53
W 0.0000 0.0000 0.5000 [2 per cell]  4 Si 2.53

For the calculated volume, the calculation gives 14.5 A^3/atom. The energy relative to the elements, uncorrected comes out at 179 meV/atom.

***

# 9
First-principles (GGA-PBE) data for crystalline ScGe at its relaxed geometry, as listed in Alexandria.

Lattice parameters (Å, degrees): 4.0163 10.1211 3.7970 90.00 90.00 90.00
With the nearest neighbours (Å) after each atom.
Space group Cmcm (No. 63)
Symmetry-distinct sites (fractional):
Sc 0.0000 0.1361 0.2500 [4 per cell]  7 Ge 2.77-3.05
Ge 0.0000 0.4098 0.2500 [4 per cell]  2 Ge 2.63, 5 Sc 2.77-2.80

For the calculated volume, the calculation gives 19.3 A^3/atom. The formation energy is -830 meV per atom.

***

# 10
First-principles (GGA-PBE) data for crystalline Re2PtW at its relaxed geometry, as listed in Alexandria.

Lattice parameters (Å, degrees): 2.7707 2.7707 8.0199 90.00 90.00 90.00
With the nearest neighbours (Å) after each atom.
Space group P4mm (No. 99)
Symmetry-distinct sites (fractional):
Re 0.0000 0.0000 0.0000 [1 per cell]  8 Re 2.69-2.77, 4 Pt 2.86
Re 0.5000 0.5000 0.2298 [1 per cell]  8 Re 2.69-2.77, 4 W 2.84
Pt 0.5000 0.5000 0.7399 [1 per cell]  4 Pt 2.77, 4 W 2.83, 4 Re 2.86
W 0.0000 0.0000 0.4856 [1 per cell]  4 W 2.77, 4 Pt 2.83, 4 Re 2.84

For the calculated volume, the calculation gives 15.4 A^3/atom. The formation energy is -34 meV per atom.

***

# 11
First-principles (GGA-PBE) data for crystalline PrNdBrN at its relaxed geometry, as listed in Alexandria.

Lattice parameters (Å, degrees): 3.7462 3.7462 22.2482 90.00 90.00 120.00
With the nearest neighbours (Å) after each atom.
Space group R3m (No. 160, hexagonal axes)
Symmetry-distinct sites (fractional):
Pr 0.0000 0.0000 0.0000 [3 per cell]  3 N 2.60
Nd 0.0000 0.0000 0.7870 [3 per cell]  3 N 2.49
Br 0.0000 0.0000 0.2259 [3 per cell]  3 Nd 3.19, 3 Pr 3.22
N 0.0000 0.0000 0.3979 [3 per cell]  3 Nd 2.49, 3 Pr 2.60

For the calculated volume, the calculation gives 22.5 A^3/atom. The energy relative to the elements, uncorrected comes out at -1378 meV/atom.

***

# 12
First-principles (GGA-PBE) data for crystalline MgFePt at its relaxed geometry, as listed in Alexandria.

Lattice parameters (Å, degrees): 2.9178 2.9178 10.6827 90.00 90.00 90.00
With the nearest neighbours (Å) after each atom.
Space group I4mm (No. 107)
Symmetry-distinct sites (fractional):
Mg 0.0000 0.0000 0.0000 [2 per cell]  4 Pt 2.76, 4 Fe 2.80, 4 Mg 2.92
Fe 0.0000 0.0000 0.3234 [2 per cell]  4 Pt 2.63, 4 Mg 2.80, 4 Fe 2.92
Pt 0.0000 0.0000 0.6713 [2 per cell]  4 Fe 2.63, 4 Mg 2.76, 4 Pt 2.92

For the calculated volume, the calculation gives 15.2 A^3/atom. The formation energy is -251 meV per atom.

***

| no. | D(E_F) (states/eV per atom) |
| --- | --- |
| 1 | 1.253 |
| 2 | 1.867 |
| 3 | 0.470 |
| 4 | 0.742 |
| 5 | 0.583 |
| 6 | 1.661 |
| 7 | 0.575 |
| 8 | 0.584 |
| 9 | 0.583 |
| 10 | 1.178 |
| 11 | 0.261 |
| 12 | 0.737 |